(1)
SiSbOs3 | PBE-GGA | relaxed

```
5
Lattice="-3.5526 -0.4041 2.6697 -0.5007 -4.2369 -1.3076 2.6533 -1.3406 3.3278" Properties=species:S:1:pos:R:3 pbc="T T T"
Sb -0.7000 -2.9908 2.3450
Si 0.0000 0.0000 0.0000
Os -0.2503 -2.1184 -0.6538
Os 1.3266 -0.6703 1.6639
Os -1.7763 -0.2021 1.3348
```

Results
Size of the total moment in μB/f.u.: 0.00
Calculated total energy in eV/atom: -7.500
Space group: Pm-3m, No. 221
Relative energy among the computed polymorphs in kJ/mol of atoms: 0.0

=====

(2)
SiSbOs | PBE-GGA | relaxed

```
3
Lattice="-5.0796 -5.0998 0.9772 -2.4204 -6.3846 1.5164 -1.5688 0.7698 2.4411" Properties=species:S:1:pos:R:3 pbc="T T T"
Os -1.6544 0.5929 2.4419
Sb -3.6081 -3.4436 2.4592
Si -5.3751 -7.0942 2.4748
```

Results
Size of the total moment in μB/f.u.: 0.00
Calculated total energy in eV/atom: -6.399
Space group: Fmm2, No. 42
Relative energy among the computed polymorphs in kJ/mol of atoms: 54.7

=====

(3)
SiSbOs | PBE-GGA | relaxed

```
6
Lattice="-4.5765 2.3129 -2.5483 -1.0829 -2.7481 -0.5494 -2.3364 -0.2718 5.9646" Properties=species:S:1:pos:R:3 pbc="T T T"
Sb -5.1344 0.9044 1.4893
Sb -2.8615 -1.6113 1.3776
Si -3.1848 -0.5539 4.9405
Si -4.8111 -0.1530 -2.0737
Os -3.1258 0.4890 -0.3920
Os -4.8701 -1.1959 3.2589
```

Results
Size of the total moment in μB/f.u.: 0.00
Calculated total energy in eV/atom: -6.868
Space group: P2_1/m, No. 11
Relative energy among the computed polymorphs in kJ/mol of atoms: 9.4

=====

(4)
Si3SbOs | PBE-GGA | relaxed

```
5
Lattice="-0.0355 4.0225 2.4238 -4.4488 0.7477 -1.3061 -1.5046 -2.3059 3.8047" Properties=species:S:1:pos:R:3 pbc="T T T"
Sb -2.9944 1.2322 2.4612
Si -2.2244 0.3739 -0.6530
Si -0.7523 -1.1529 1.9024
Si -0.0177 2.0112 1.2119
Os 0.0000 0.0000 0.0000
```

Results
Size of the total moment in μB/f.u.: 0.00
Calculated total energy in eV/atom: -5.868
Space group: Pm-3m, No. 221
Relative energy among the computed polymorphs in kJ/mol of atoms: 0.0

=====

(5)
SiSbOs | PBE-GGA | relaxed

```
12
Lattice="-0.9862 -4.9357 0.7535 1.8204 0.0290 2.5722 -10.3003 3.1656 7.2541" Properties=species:S:1:pos:R:3 pbc="T T T"
Sb -3.5702 -1.5222 2.5438
Sb -7.7164 -0.2480 5.4638
Sb -7.3170 2.5429 7.0802
Sb -1.1629 0.6516 2.7461
Si -0.2343 -1.1727 0.1790
Si -0.7519 -3.7630 0.5745
Si -4.9674 -2.0433 5.4689
Si -4.4988 0.3021 5.1109
Os -6.2775 1.9292 4.4210
Os -4.0228 1.2363 2.8331
Os -0.7103 -2.1069 2.4568
Os -8.7559 0.3657 8.1230
```

Results
Size of the total moment in μB/f.u.: 0.00
Calculated total energy in eV/atom: -6.966
Space group: Immm, No. 71
Relative energy among the computed polymorphs in kJ/mol of atoms: 0.0

=====

(6)
SiSbOs | PBE-GGA | relaxed

```
3
Lattice="4.1153 0.0000 0.0000 -2.0577 3.5640 0.0000 0.0000 0.0000 3.8607" Properties=species:S:1:pos:R:3 pbc="T T T"
Os 0.0000 0.0000 3.2171
Sb 2.0577 1.1880 1.2872
Si 0.0000 2.3760 3.2171
```

Results
Size of the total moment in μB/f.u.: 0.00
Calculated total energy in eV/atom: -6.511
Space group: P-6m2, No. 187
Relative energy among the computed polymorphs in kJ/mol of atoms: 43.9

=====

(7)
SiSbOs | PBE-GGA | relaxed

```
12
Lattice="9.3336 0.0000 -0.0194 0.0000 3.0911 0.0000 -2.5704 0.0000 8.0878" Properties=species:S:1:pos:R:3 pbc="T T T"
Sb 6.7944 0.0000 6.2974
Sb 8.0796 1.5456 2.2535
Sb 4.1364 0.0000 7.7293
Sb 5.4216 1.5456 3.6854
Si 0.2614 0.0000 5.3832
Si 1.5466 1.5456 1.3392
Si 2.8074 0.0000 4.7593
Si 4.0926 1.5456 0.7154
Os -0.1944 0.0000 7.7693
Os 1.0908 1.5456 3.7254
Os 3.4285 0.0000 2.4510
Os 2.1433 1.5456 6.4949
```

Results
Size of the total moment in μB/f.u.: 0.00
Calculated total energy in eV/atom: -6.908
Space group: Cm, No. 8
Relative energy among the computed polymorphs in kJ/mol of atoms: 5.6

=====

(8)
SiSbOs | PBE-GGA | relaxed

```
3
Lattice="6.3198 -0.0080 0.0000 4.8621 4.0373 0.0000 -5.5910 -2.0147 2.1499" Properties=species:S:1:pos:R:3 pbc="T T T"
Os 0.1960 0.0706 0.0000
Sb 3.9655 1.4289 0.0000
Si 7.0206 2.5298 0.0000
```

Results
Size of the total moment in μB/f.u.: 0.00
Calculated total energy in eV/atom: -6.679
Space group: I4mm, No. 107
Relative energy among the computed polymorphs in kJ/mol of atoms: 27.7

=====

Question: Number 8 is which compound?
Answer: SiSbOs